Record 1
CaGa8Ag2 | Alexandria via LeMat-Bulk | PBE | optimized geometry; ΔE_f = 0.0661 eV/atom; energy = -2.836 eV per atom
1.0
-5.327 0.413 -0.243
-0.386 -2.095 4.906
0.493 8.508 3.673
Ca Ga Ag
1 8 2
Cartesian
-2.610 3.413 4.168
-4.188 0.665 4.342
-3.723 6.370 3.870
-3.918 5.312 6.348
-3.992 1.723 1.864
-1.497 0.456 4.465
-1.228 5.103 6.471
-1.302 1.514 1.987
-1.033 6.162 3.993
-2.663 0.207 -0.122
-0.193 -1.048 2.453

---

Record 2
Ca3InBr | Alexandria via LeMat-Bulk | PBE | optimized geometry; energy above the lowest structure with this stoichiometry = 0 meV/atom; E_form (uncorrected) = -479 meV/atom; energy = -2.562 eV per atom
1.0
5.510 0.000 0.000
0.000 5.510 0.000
0.000 0.000 5.510
Ca Br In
3 1 1
Cartesian
0.000 2.755 0.000
0.000 0.000 2.755
2.755 0.000 0.000
0.000 0.000 0.000
2.755 2.755 2.755

---

Record 3
Ba2ZnW | Alexandria via LeMat-Bulk | PBE | optimized geometry; ΔE_f = 0.8133 eV/atom; energy = -3.705 eV per atom
1.0
-6.149 0.915 -2.527
-4.649 -2.139 -4.341
-3.925 -3.259 2.241
Ba W Zn
2 1 1
Cartesian
-10.643 -1.270 -6.660
-11.211 -3.312 -3.693
-7.703 -2.141 -2.763
-3.329 -1.224 -0.691